Entry 1:
Entry from the Alexandria database: a geometry-optimized MnB2Se structure (PBE). Values from VASP.

Properties
Space group = No. 122
Final energy = -5.802 eV per atom
Spin magnetization = 5.08 Bohr magnetons per cell

```
&SYSTEM
  ibrav = 0, nat = 8, ntyp = 3
/
ATOMIC_SPECIES
Mn 54.94 Mn.upf
B 10.81 B.upf
Se 78.96 Se.upf
ATOMIC_POSITIONS crystal
Mn 0.000 0.000 0.000
Mn 0.750 0.250 0.500
B 0.124 0.625 0.999
B 0.375 0.374 0.499
B 0.626 0.125 0.001
B 0.875 0.876 0.501
Se 0.250 0.750 0.500
Se 0.500 0.500 0.000
CELL_PARAMETERS angstrom
-2.481 2.481 4.401
2.481 -2.481 4.401
2.481 2.481 -4.401
```



Entry 2:
Entry from the Alexandria database: a geometry-optimized MnB2Se6 structure (PBE). Values from VASP.

Properties
Space group = No. 15
Final energy = -4.918 eV per atom
Spin magnetization = 4.81 Bohr magnetons per cell

```
&SYSTEM
  ibrav = 0, nat = 18, ntyp = 3
/
ATOMIC_SPECIES
Mn 54.94 Mn.upf
B 10.81 B.upf
Se 78.96 Se.upf
ATOMIC_POSITIONS crystal
Mn 0.109 0.891 0.750
Mn 0.891 0.109 0.250
B 0.217 0.367 0.660
B 0.367 0.217 0.160
B 0.633 0.783 0.840
B 0.783 0.633 0.340
Se 0.025 0.195 0.630
Se 0.101 0.597 0.832
Se 0.195 0.025 0.130
Se 0.281 0.437 0.373
Se 0.403 0.899 0.668
Se 0.437 0.281 0.873
Se 0.563 0.719 0.127
Se 0.597 0.101 0.332
Se 0.719 0.563 0.627
Se 0.805 0.975 0.870
Se 0.899 0.403 0.168
Se 0.975 0.805 0.370
CELL_PARAMETERS angstrom
5.756 -5.039 0.000
5.756 5.039 0.000
-1.311 0.000 6.070
```



Entry 3:
Entry from the Alexandria database: a geometry-optimized MnBSe2 structure (PBE). Values from VASP.

Properties
Space group = No. 166
Final energy = -5.156 eV per atom
Spin magnetization = 3.72 Bohr magnetons per cell

```
&SYSTEM
  ibrav = 0, nat = 4, ntyp = 3
/
ATOMIC_SPECIES
Mn 54.94 Mn.upf
B 10.81 B.upf
Se 78.96 Se.upf
ATOMIC_POSITIONS crystal
Mn 0.000 0.000 0.000
B 0.500 0.500 0.500
Se 0.109 0.109 0.109
Se 0.891 0.891 0.891
CELL_PARAMETERS angstrom
1.652 0.954 7.346
-1.652 0.954 7.346
0.000 -1.908 7.346
```



Entry 4:
Entry from the Alexandria database: a geometry-optimized Mn3BSe structure (PBE). Values from VASP.

Properties
Space group = No. 221
Final energy = -7.382 eV per atom
Spin magnetization = 9.95 Bohr magnetons per cell

```
&SYSTEM
  ibrav = 0, nat = 5, ntyp = 3
/
ATOMIC_SPECIES
Mn 54.94 Mn.upf
B 10.81 B.upf
Se 78.96 Se.upf
ATOMIC_POSITIONS crystal
Mn 0.000 0.000 0.500
Mn 0.000 0.500 0.000
Mn 0.500 0.000 0.000
B 0.000 0.000 0.000
Se 0.500 0.500 0.500
CELL_PARAMETERS angstrom
4.092 0.000 0.000
0.000 4.092 0.000
0.000 0.000 4.092
```



Entry 5:
Entry from the Alexandria database: a geometry-optimized MnBSe4 structure (PBE). Values from VASP.

Properties
Space group = No. 10
Final energy = -4.930 eV per atom
Spin magnetization = 2.51 Bohr magnetons per cell

```
&SYSTEM
  ibrav = 0, nat = 6, ntyp = 3
/
ATOMIC_SPECIES
Mn 54.94 Mn.upf
B 10.81 B.upf
Se 78.96 Se.upf
ATOMIC_POSITIONS crystal
Mn 0.000 0.000 0.000
B 0.500 0.500 0.000
Se 0.177 0.500 0.769
Se 0.346 0.000 0.197
Se 0.654 0.000 0.803
Se 0.823 0.500 0.231
CELL_PARAMETERS angstrom
6.135 0.000 0.000
0.000 3.104 0.000
-0.025 0.000 6.534
```



Entry 6:
Entry from the Alexandria database: a geometry-optimized MnTcBSe2 structure (PBE). Values from VASP.

Properties
Space group = No. 123
Final energy = -5.670 eV per atom
Spin magnetization = 5.02 Bohr magnetons per cell

```
&SYSTEM
  ibrav = 0, nat = 5, ntyp = 4
/
ATOMIC_SPECIES
Mn 54.94 Mn.upf
Tc 98.00 Tc.upf
B 10.81 B.upf
Se 78.96 Se.upf
ATOMIC_POSITIONS crystal
Mn 0.000 0.000 0.000
Tc 0.500 0.500 0.500
B 0.000 0.000 0.500
Se 0.000 0.500 0.000
Se 0.500 0.000 0.000
CELL_PARAMETERS angstrom
4.791 0.000 0.000
0.000 4.791 0.000
0.000 0.000 3.757
```



Entry 7:
Entry from the Alexandria database: a geometry-optimized MnSi3B structure (PBE). Values from VASP.

Properties
Space group = No. 221
Final energy = -5.379 eV per atom
Spin magnetization = 1.93 Bohr magnetons per cell

```
&SYSTEM
  ibrav = 0, nat = 5, ntyp = 3
/
ATOMIC_SPECIES
Mn 54.94 Mn.upf
Si 28.09 Si.upf
B 10.81 B.upf
ATOMIC_POSITIONS crystal
Mn 0.000 0.000 0.000
Si 0.000 0.000 0.500
Si 0.000 0.500 0.000
Si 0.500 0.000 0.000
B 0.500 0.500 0.500
CELL_PARAMETERS angstrom
4.351 0.000 0.000
0.000 4.351 0.000
0.000 0.000 4.351
```



Entry 8:
Entry from the Alexandria database: a geometry-optimized Mn5Si2B2 structure (PBE). Values from VASP.

Properties
Space group = No. 64
Final energy = -8.134 eV per atom
Spin magnetization = 12.33 Bohr magnetons per cell

```
&SYSTEM
  ibrav = 0, nat = 18, ntyp = 3
/
ATOMIC_SPECIES
Mn 54.94 Mn.upf
Si 28.09 Si.upf
B 10.81 B.upf
ATOMIC_POSITIONS crystal
Mn 0.000 0.000 0.000
Mn 0.057 0.711 0.678
Mn 0.211 0.557 0.178
Mn 0.289 0.943 0.678
Mn 0.443 0.789 0.178
Mn 0.500 0.500 0.500
Mn 0.557 0.211 0.822
Mn 0.711 0.057 0.322
Mn 0.789 0.443 0.822
Mn 0.943 0.289 0.322
Si 0.224 0.224 0.000
Si 0.276 0.276 0.500
Si 0.724 0.724 0.500
Si 0.776 0.776 0.000
B 0.116 0.884 0.386
B 0.384 0.616 0.886
B 0.616 0.384 0.114
B 0.884 0.116 0.614
CELL_PARAMETERS angstrom
6.120 -2.735 0.000
6.120 2.735 0.000
0.000 0.000 5.470
```



Number 1: theoretical density 4.77 g/cm3, formation energy (no corrections) 700 meV/atom. Number 2: theoretical density 5.19 g/cm3, formation energy (no corrections) -93 meV/atom. Number 3: theoretical density 5.35 g/cm3, formation energy (no corrections) 548 meV/atom. Number 4: theoretical density 6.17 g/cm3, formation energy (no corrections) 152 meV/atom. Number 5: theoretical density 5.09 g/cm3, formation energy (no corrections) 34 meV/atom. Number 6: theoretical density 6.19 g/cm3, formation energy (no corrections) 966 meV/atom. Number 7: theoretical density 3.03 g/cm3, formation energy (no corrections) 1044 meV/atom. Number 8: theoretical density 6.39 g/cm3, formation energy (no corrections) -351 meV/atom.